1.
TbHoPd6 | PBE-GGA | relaxed

abc: 4.1235 4.1235 8.2491
angles: 90.00 90.00 90.00
Last column: nearest neighbours and their distance in Å.
Element x y z (fractional)
Pd 0.0000 0.5000 0.2484  8 Pd 2.91-2.93, 2 Ho 2.91, 2 Tb 2.93
Ho 0.0000 0.0000 0.0000  12 Pd 2.91-2.92
Pd 0.5000 0.5000 0.5000  4 Tb 2.92, 8 Pd 2.93
Pd 0.5000 0.0000 0.7516  8 Pd 2.91-2.93, 2 Ho 2.91, 2 Tb 2.93
Pd 0.5000 0.0000 0.2484  8 Pd 2.91-2.93, 2 Ho 2.91, 2 Tb 2.93
Tb 0.0000 0.0000 0.5000  12 Pd 2.92-2.93
Pd 0.5000 0.5000 0.0000  8 Pd 2.91, 4 Ho 2.92
Pd 0.0000 0.5000 0.7516  8 Pd 2.91-2.93, 2 Ho 2.91, 2 Tb 2.93

Summary:
DFT formation energy, meV/atom: -874
Electronic total energy, eV/f.u.: -47.353
D(E_F), states/eV/cell: 6.00

2.
Pm4BiI5 | PBE-GGA | relaxed

abc: 4.2888 9.4282 9.7596
angles: 99.41 102.69 90.00
Last column: nearest neighbours and their distance in Å.
Element x y z (fractional)
I 0.1673 0.7996 0.3345  4 Pm 3.18-3.25
I 0.5000 0.5000 0.0000  4 Pm 3.31
Pm 0.0015 0.2337 0.0030  2 Bi 3.07, 4 I 3.14-3.31
Pm 0.6684 0.0595 0.3368  1 Bi 3.16, 5 I 3.19-3.25
I 0.8327 0.2004 0.6655  4 Pm 3.18-3.25
Bi 0.5000 0.0000 0.0000  6 Pm 3.07-3.16
Pm 0.9985 0.7663 0.9970  2 Bi 3.07, 4 I 3.14-3.31
I 0.8316 0.6828 0.6631  3 Pm 3.14-3.24
Pm 0.3316 0.9405 0.6632  1 Bi 3.16, 5 I 3.19-3.25
I 0.1684 0.3172 0.3369  3 Pm 3.14-3.24

Summary:
Raw formation energy, eV per atom: -1.13
Electronic total energy, eV/f.u.: -41.961
D(E_F), states/eV/cell: 5.72

3.
NaCaAcTl | PBE-GGA | relaxed

abc: 5.7631 5.7631 5.7631
angles: 60.00 60.00 60.00
Last column: nearest neighbours and their distance in Å.
Element x y z (fractional)
Tl 0.5000 0.5000 0.5000  4 Ac 3.53, 4 Ca 3.53
Ca 0.2500 0.2500 0.2500  4 Tl 3.53, 4 Na 3.53
Na 0.0000 0.0000 0.0000  4 Ca 3.53, 4 Ac 3.53
Ac 0.7500 0.7500 0.7500  4 Na 3.53, 4 Tl 3.53

Summary:
DFT formation energy, meV/atom: -169
Electronic total energy, eV/f.u.: -10.472
D(E_F), states/eV/cell: 3.07

4.
ZnInGa | PBE-GGA | relaxed

abc: 6.0857 4.2990 9.4833
angles: 90.00 90.00 90.00
Last column: nearest neighbours and their distance in Å.
Element x y z (fractional)
In 0.8806 0.2500 0.1010  4 Zn 2.96-3.05, 5 Ga 3.04-3.16, 2 In 3.23
Zn 0.5857 0.7500 0.2292  3 Ga 2.88-2.91, 4 In 2.96-3.05, 2 Zn 3.07
Zn 0.4143 0.2500 0.7708  3 Ga 2.88-2.91, 4 In 2.96-3.05, 2 Zn 3.07
Zn 0.0857 0.7500 0.2708  3 Ga 2.88-2.91, 4 In 2.96-3.05, 2 Zn 3.07
Ga 0.8794 0.2500 0.4231  3 Zn 2.88-2.91, 2 Ga 2.98, 5 In 3.04-3.16
In 0.3806 0.2500 0.3990  4 Zn 2.96-3.05, 5 Ga 3.04-3.16, 2 In 3.23
In 0.6194 0.7500 0.6010  4 Zn 2.96-3.05, 5 Ga 3.04-3.16, 2 In 3.23
Ga 0.3794 0.2500 0.0769  3 Zn 2.88-2.91, 2 Ga 2.98, 5 In 3.04-3.16
Ga 0.6206 0.7500 0.9231  3 Zn 2.88-2.91, 2 Ga 2.98, 5 In 3.04-3.16
In 0.1194 0.7500 0.8990  4 Zn 2.96-3.05, 5 Ga 3.04-3.16, 2 In 3.23
Zn 0.9143 0.2500 0.7292  3 Ga 2.88-2.91, 4 In 2.96-3.05, 2 Zn 3.07
Ga 0.1206 0.7500 0.5769  3 Zn 2.88-2.91, 2 Ga 2.98, 5 In 3.04-3.16

Summary:
DFT formation energy, meV/atom: 95
Electronic total energy, eV/f.u.: -6.756
D(E_F), states/eV/cell: 4.35

5.
ZrGa2AgCl | PBE-GGA | relaxed

abc: 4.9075 4.9591 4.9075
angles: 90.00 90.00 90.00
Last column: nearest neighbours and their distance in Å.
Element x y z (fractional)
Ag 0.0000 0.0000 0.0000  4 Ga 2.45, 2 Cl 2.48
Cl 0.0000 0.5000 0.0000  2 Ag 2.48
Zr 0.5000 0.5000 0.5000  4 Cl 3.47, 8 Ga 3.49
Ga 0.0000 0.0000 0.5000  2 Ag 2.45
Ga 0.5000 0.0000 0.0000  2 Ag 2.45

Summary:
Raw formation energy, eV per atom: 0.55
Electronic total energy, eV/f.u.: -16.538
D(E_F), states/eV/cell: 3.12

6.
Mn2RuAuC | PBE-GGA | relaxed

abc: 4.0549 4.0549 4.0002
angles: 90.00 90.00 90.00
Last column: nearest neighbours and their distance in Å.
Element x y z (fractional)
Au 0.5000 0.5000 0.5000  8 Mn 2.85, 4 Ru 2.87
Mn 0.5000 0.0000 0.0000  2 C 2.03
Ru 0.0000 0.0000 0.5000  2 C 2.00
Mn 0.0000 0.5000 0.0000  2 C 2.03
C 0.0000 0.0000 0.0000  2 Ru 2.00, 4 Mn 2.03

Summary:
DFT formation energy, meV/atom: 74
Electronic total energy, eV/f.u.: -39.746
D(E_F), states/eV/cell: 3.02